A plane-wave DFT calculation with GGA-PBE was carried out for crystalline Mg2Sb at its relaxed geometry.

Properties
Total moment: 0.0 μB per formula unit
Symmetry: Fd-3m, No. 227
Energy relative to the elements, uncorrected: 0.03 eV/atom

a = 5.8726 Å, b = 5.8726 Å, c = 5.8726 Å
α = 60.00°, β = 60.00°, γ = 60.00°
Last column: nearest neighbours and their distance in Å.
Element x y z (fractional)
Mg 0.6250 0.1250 0.1250  6 Mg 2.94
Mg 0.1250 0.6250 0.1250  6 Mg 2.94
Mg 0.1250 0.1250 0.6250  6 Mg 2.94
Mg 0.1250 0.1250 0.1250  6 Mg 2.94
Sb 0.5000 0.5000 0.5000  12 Mg 3.44, 4 Sb 3.60
Sb 0.7500 0.7500 0.7500  12 Mg 3.44, 4 Sb 3.60